Density functional theory data (PBE-GGA) for a relaxed structure of KNiHg2.

a = 5.1655 Å, b = 5.1655 Å, c = 5.1655 Å
α = 60.00°, β = 60.00°, γ = 60.00°
Sites, in units of the cell vectors:
K  0.0000  0.0000  0.0000
Ni  0.5000  0.5000  0.5000
Hg  0.2500  0.2500  0.2500
Hg  0.7500  0.7500  0.7500

- ΔE to the lowest computed polymorph (meV/atom) = 263
- calculated total energy (eV per formula unit) = -6.2
- space-group type = No. 225